Version one
# Ga2Mo2O, optimized geometry, DFT PBE+U
data_Ga2Mo2O
_chemical_formula_sum 'Ga2 Mo2 O1'
_cell_length_a 7.313
_cell_length_b 7.313
_cell_length_c 7.313
_cell_angle_alpha 151.66
_cell_angle_beta 151.66
_cell_angle_gamma 40.52
_symmetry_space_group_name_H-M 'P 1'
_symmetry_Int_Tables_number 1
loop_
_symmetry_equiv_pos_as_xyz
'x,y,z'
loop_
_atom_site_label
_atom_site_type_symbol
_atom_site_fract_x
_atom_site_fract_y
_atom_site_fract_z
Ga1 Ga 0.087 0.087 0.000
Ga2 Ga 0.913 0.913 0.000
Mo1 Mo 0.250 0.750 0.500
Mo2 Mo 0.750 0.250 0.500
O1 O 0.500 0.500 0.000
# Space-group type ... No. 139
# DOS(E_F) ... 2.67 states/eV/f.u.

***

Version two
# Ga2Mo2O, optimized geometry, DFT PBE+U
data_Ga2Mo2O
_chemical_formula_sum 'Ga4 Mo4 O2'
_cell_length_a 6.092
_cell_length_b 6.092
_cell_length_c 4.486
_cell_angle_alpha 90.00
_cell_angle_beta 90.00
_cell_angle_gamma 90.00
_symmetry_space_group_name_H-M 'P 1'
_symmetry_Int_Tables_number 1
loop_
_symmetry_equiv_pos_as_xyz
'x,y,z'
loop_
_atom_site_label
_atom_site_type_symbol
_atom_site_fract_x
_atom_site_fract_y
_atom_site_fract_z
Ga1 Ga 0.155 0.345 0.000
Ga2 Ga 0.345 0.845 0.000
Ga3 Ga 0.655 0.155 0.000
Ga4 Ga 0.845 0.655 0.000
Mo1 Mo 0.166 0.666 0.500
Mo2 Mo 0.334 0.166 0.500
Mo3 Mo 0.666 0.834 0.500
Mo4 Mo 0.834 0.334 0.500
O1 O 0.000 0.000 0.000
O2 O 0.500 0.500 0.000
# Space-group type ... No. 127
# DOS(E_F) ... 1.81 states/eV/f.u.

***

List of relative energies, unit eV/atom: version one 0.516; version two 0.000